No. 1
ZrAl2Ir, optimized geometry, DFT PBE; D(E_F) = 2.8 states/eV per cell; calculated formation energy = -637 meV/atom; uncorrected energy = -27.44 eV/f.u.
1.0
4.0207 0.0000 0.0000
0.0000 3.9796 0.5653
0.0000 3.3989 4.6262
Al Zr Ir
2 1 1
direct
0.0000 0.0000 0.0000
0.5000 0.5000 0.0000
0.0000 0.0000 0.5000
0.5000 0.5000 0.5000

No. 2
ZrAl2Ir2, optimized geometry, DFT PBE; D(E_F) = 4.3 states/eV per cell; calculated formation energy = -815 meV/atom; uncorrected energy = -37.83 eV/f.u.
1.0
-4.4417 -4.9226 3.4573
0.6184 -4.6485 -5.8243
2.2583 -1.1979 1.1958
Ir Al Zr
4 4 2
direct
0.1710 0.6710 0.5000
0.3290 0.1710 0.5000
0.6710 0.8290 0.5000
0.8290 0.3290 0.5000
0.3751 0.8751 0.0000
0.6249 0.1249 0.0000
0.1249 0.3751 0.0000
0.8751 0.6249 0.0000
0.0000 0.0000 0.0000
0.5000 0.5000 0.0000

Please write out number 1 again, unchanged.
ZrAl2Ir, optimized geometry, DFT PBE; D(E_F) = 2.8 states/eV per cell; calculated formation energy = -637 meV/atom; uncorrected energy = -27.44 eV/f.u.
1.0
4.0207 0.0000 0.0000
0.0000 3.9796 0.5653
0.0000 3.3989 4.6262
Al Zr Ir
2 1 1
direct
0.0000 0.0000 0.0000
0.5000 0.5000 0.0000
0.0000 0.0000 0.5000
0.5000 0.5000 0.5000

Question: Number 1 is which compound?
Answer: ZrAl2Ir

Question: Among the records above, which one has the highest uncorrected energy?
Answer: ZrAl2Ir